Material: BaYCrBi2
Method: DFT, PBE
State: optimized geometry

Results
Uncorrected energy (eV/cell): -25.61
Fermi-level density of states (states/eV per atom): 1.018
ΔE_f (eV per formula unit): 0.17

POSCAR file:
```
BaYCrBi2
1.0
5.598 0.000 0.000
0.000 5.100 0.000
0.000 0.000 5.598
Y Cr Bi Ba
1 1 2 1
direct
0.000 0.500 0.000
0.000 0.000 0.000
0.000 0.000 0.500
0.500 0.000 0.000
0.500 0.500 0.500
```